A geometry-optimized Ba2OsPbSe6 structure, computed with PBE-GGA.

Properties
Spin magnetization ... 0.0048 μB per atom
E above lowest polymorph ... 0.000 eV/atom
Calculated density ... 6695 kg/m3
Final energy ... -47.3 eV per cell
Crystal system ... triclinic

Cell lengths 6.590, 6.801, 7.699 Å; angles 69.38, 66.48, 67.57 degrees
Space group P-1 (No. 2)
One atom of each set of equivalent atoms:
Ba 0.238 0.274 0.244 x2
Os 0.500 0.500 0.500 x1
Pb 0.000 0.000 0.000 x1
Se 0.174 0.739 0.348 x2
Se 0.273 0.625 0.818 x2
Se 0.346 0.182 0.653 x2